Material: BeCdBIrAu
Method: DFT, GGA-PBE
State: optimized geometry

Properties
Calculated total energy (eV per atom): -4.73
Volume (Å³/cell): 74.9
Polymorph energy (0 for the lowest one) (eV per formula unit): 0.46
N(E_F) (states/eV/f.u.): 0.62
Energy of formation from the pure elements (kJ/mol of atoms): -3.4

a b c (Å): 3.2255 3.8184 6.4630
angles (deg): 103.30 104.39 90.06
Last column: nearest neighbours and their distance in Å.
Fractional coordinates of all 5 atoms:
Be  0.0000  0.0000  0.0000  2 B 2.16-2.17, 2 Ir 2.32-2.34
Cd  0.7264  0.1779  0.4556  4 Ir 2.87-2.89, 4 Au 2.92-2.94, 1 B 2.95, 2 Be 3.20-3.21
B  0.5144  0.6371  0.0307  2 Ir 2.03, 2 Be 2.16-2.17, 1 Au 2.20
Ir  0.1082  0.5897  0.2197  2 B 2.03
Au  0.3533  0.7732  0.7079  1 B 2.20, 2 Be 2.44